Entry 1:
# RbTlAs, optimized geometry, DFT PBE
data_RbTlAs
_cell_length_a 8.365
_cell_length_b 4.830
_cell_length_c 9.792
_cell_angle_alpha 90.00
_cell_angle_beta 90.00
_cell_angle_gamma 90.00
_space_group_name_H-M_alt 'P n m a'
_space_group_IT_number 62
_space_group_name_Hall '-P 2ac 2n'
loop_
_atom_site_label
_atom_site_fract_x
_atom_site_fract_y
_atom_site_fract_z
Rb1 0.011 0.250 0.177
Tl1 0.148 0.250 0.575
As1 0.207 0.750 0.402
# Energy of formation from the pure elements ... -0.231 eV per atom
# ρ ... 6.12 Mg/m³
# Electronic total energy ... -2.89 eV per atom


Entry 2:
# Dy3InCo, optimized geometry, DFT PBE
data_Dy3InCo
_cell_length_a 8.430
_cell_length_b 3.826
_cell_length_c 8.644
_cell_angle_alpha 90.00
_cell_angle_beta 112.62
_cell_angle_gamma 90.00
_space_group_name_H-M_alt 'P 1 21/m 1'
_space_group_IT_number 11
_space_group_name_Hall '-P 2yb'
loop_
_atom_site_label
_atom_site_fract_x
_atom_site_fract_y
_atom_site_fract_z
Dy1 0.033 0.250 0.230
Dy2 0.318 0.750 0.574
Dy3 0.330 0.250 0.903
In1 0.339 0.750 0.208
Co1 0.065 0.250 0.582
# Energy of formation from the pure elements ... -0.271 eV per atom
# ρ ... 8.53 Mg/m³
# Electronic total energy ... -5.00 eV per atom


Entry 3:
# AuI2NCl, optimized geometry, DFT PBE
data_AuI2NCl
_cell_length_a 6.175
_cell_length_b 6.175
_cell_length_c 3.729
_cell_angle_alpha 90.00
_cell_angle_beta 90.00
_cell_angle_gamma 90.00
_space_group_name_H-M_alt 'P 4/m m m'
_space_group_IT_number 123
_space_group_name_Hall '-P 4 2'
loop_
_atom_site_label
_atom_site_fract_x
_atom_site_fract_y
_atom_site_fract_z
Au1 0.000 0.000 0.000
I1 0.000 0.500 0.000
N1 0.000 0.000 0.500
Cl1 0.500 0.500 0.500
# ρ ... 5.84 Mg/m³
# Electronic total energy ... -2.35 eV per atom
# Raw formation energy ... 0.96 eV per atom


Entry 4:
# Pa3Ge2Pt, optimized geometry, DFT PBE
data_Pa3Ge2Pt
_cell_length_a 11.985
_cell_length_b 4.088
_cell_length_c 10.956
_cell_angle_alpha 90.00
_cell_angle_beta 90.00
_cell_angle_gamma 90.00
_space_group_name_H-M_alt 'P n m a'
_space_group_IT_number 62
_space_group_name_Hall '-P 2ac 2n'
loop_
_atom_site_label
_atom_site_fract_x
_atom_site_fract_y
_atom_site_fract_z
Pa1 0.049 0.250 0.108
Pa2 0.132 0.750 0.569
Pa3 0.234 0.250 0.771
Ge1 0.003 0.750 0.292
Ge2 0.189 0.750 0.992
Pt1 0.116 0.250 0.378
# Energy of formation from the pure elements ... -0.573 eV per atom
# ρ ... 12.79 Mg/m³
# Electronic total energy ... -7.87 eV per atom


Entry 5:
# Ac3La12Y, optimized geometry, DFT PBE
data_Ac3La12Y
_cell_length_a 5.334
_cell_length_b 5.334
_cell_length_c 21.252
_cell_angle_alpha 90.00
_cell_angle_beta 90.00
_cell_angle_gamma 90.00
_space_group_name_H-M_alt 'P 4/m m m'
_space_group_IT_number 123
_space_group_name_Hall '-P 4 2'
loop_
_atom_site_label
_atom_site_fract_x
_atom_site_fract_y
_atom_site_fract_z
Ac1 0.000 0.000 0.000
Ac2 0.000 0.000 0.252
La1 0.000 0.500 0.126
La2 0.000 0.500 0.379
La3 0.500 0.500 0.000
La4 0.500 0.500 0.254
La5 0.500 0.500 0.500
Y1 0.000 0.000 0.500
# Energy of formation from the pure elements ... 0.013 eV per atom
# ρ ... 6.69 Mg/m³
# Electronic total energy ... -4.86 eV per atom


Entry 6:
# TaNb4Sb, optimized geometry, DFT PBE
data_TaNb4Sb
_cell_length_a 10.104
_cell_length_b 3.467
_cell_length_c 6.758
_cell_angle_alpha 90.00
_cell_angle_beta 107.82
_cell_angle_gamma 90.00
_space_group_name_H-M_alt 'C 1 2/m 1'
_space_group_IT_number 12
_space_group_name_Hall '-C 2y'
loop_
_atom_site_label
_atom_site_fract_x
_atom_site_fract_y
_atom_site_fract_z
Ta1 0.000 0.000 0.000
Nb1 0.162 0.500 0.834
Nb2 0.178 0.500 0.326
Sb1 0.000 0.000 0.500
# ρ ... 9.94 Mg/m³
# Electronic total energy ... -9.46 eV per atom
# Raw formation energy ... -0.08 eV per atom


Entry 7:
# SmAl6Ir3, optimized geometry, DFT PBE
data_SmAl6Ir3
_cell_length_a 8.369
_cell_length_b 4.249
_cell_length_c 9.767
_cell_angle_alpha 90.00
_cell_angle_beta 94.70
_cell_angle_gamma 90.00
_space_group_name_H-M_alt 'P 1 21/m 1'
_space_group_IT_number 11
_space_group_name_Hall '-P 2yb'
loop_
_atom_site_label
_atom_site_fract_x
_atom_site_fract_y
_atom_site_fract_z
Sm1 0.050 0.250 0.294
Al1 0.128 0.750 0.026
Al2 0.194 0.250 0.619
Al3 0.316 0.750 0.267
Al4 0.322 0.750 0.778
Al5 0.431 0.250 0.423
Al6 0.466 0.250 0.914
Ir1 0.162 0.250 0.873
Ir2 0.270 0.750 0.510
Ir3 0.373 0.250 0.149
# Energy of formation from the pure elements ... -0.771 eV per atom
# ρ ... 8.53 Mg/m³
# Electronic total energy ... -6.15 eV per atom


Entry 8:
# CeErAu, optimized geometry, DFT PBE
data_CeErAu
_cell_length_a 7.084
_cell_length_b 7.084
_cell_length_c 7.084
_cell_angle_alpha 90.00
_cell_angle_beta 90.00
_cell_angle_gamma 90.00
_space_group_name_H-M_alt 'F -4 3 m'
_space_group_IT_number 216
_space_group_name_Hall 'F -4 2 3'
loop_
_atom_site_label
_atom_site_fract_x
_atom_site_fract_y
_atom_site_fract_z
Ce1 0.000 0.000 0.000
Er1 0.000 0.000 0.500
Au1 0.250 0.250 0.750
# Energy of formation from the pure elements ... -0.291 eV per atom
# ρ ... 9.42 Mg/m³
# Electronic total energy ... -4.88 eV per atom


Entry 9:
# PaBePbO6, optimized geometry, DFT PBE
data_PaBePbO6
_cell_length_a 5.1620
_cell_length_b 5.1620
_cell_length_c 4.8232
_cell_angle_alpha 90.00
_cell_angle_beta 90.00
_cell_angle_gamma 120.00
_space_group_name_H-M_alt 'P 3 1 2'
_space_group_IT_number 149
_space_group_name_Hall 'P 3 2'
loop_
_atom_site_label
_atom_site_fract_x
_atom_site_fract_y
_atom_site_fract_z
Pa1 0.0000 0.0000 0.0000
Be1 0.6667 0.3333 0.5000
Pb1 0.3333 0.6667 0.5000
O1 0.3631 0.0418 0.7314
# ρ ... 8.10 Mg/m³
# Electronic total energy ... -7.13 eV per atom
# Raw formation energy ... -1.94 eV per atom


Entry 10:
# Rb4U3PaSe8, optimized geometry, DFT PBE
data_Rb4U3PaSe8
_cell_length_a 8.4224
_cell_length_b 8.4224
_cell_length_c 24.4197
_cell_angle_alpha 90.00
_cell_angle_beta 90.00
_cell_angle_gamma 120.00
_space_group_name_H-M_alt 'R -3 m'
_space_group_IT_number 166
_space_group_name_Hall '-R 3 2"'
loop_
_atom_site_label
_atom_site_fract_x
_atom_site_fract_y
_atom_site_fract_z
Rb1 0.0000 0.0000 0.0000
Rb2 0.0000 0.5000 0.0000
U1 0.0000 0.5000 0.5000
Pa1 0.0000 0.0000 0.5000
Se1 0.0000 0.0000 0.2332
Se2 0.0025 0.5012 0.2336
# ρ ... 6.37 Mg/m³
# Electronic total energy ... -5.93 eV per atom
# Raw formation energy ... -1.24 eV per atom


Entry 11:
# CaFeCu, optimized geometry, DFT PBE
data_CaFeCu
_cell_length_a 6.563
_cell_length_b 6.563
_cell_length_c 6.563
_cell_angle_alpha 90.00
_cell_angle_beta 90.00
_cell_angle_gamma 90.00
_space_group_name_H-M_alt 'F -4 3 m'
_space_group_IT_number 216
_space_group_name_Hall 'F -4 2 3'
loop_
_atom_site_label
_atom_site_fract_x
_atom_site_fract_y
_atom_site_fract_z
Ca1 0.000 0.000 0.000
Fe1 0.250 0.250 0.250
Cu1 0.250 0.250 0.750
# Energy of formation from the pure elements ... 1.123 eV per atom
# ρ ... 3.75 Mg/m³
# Electronic total energy ... -3.73 eV per atom